# 1
! SrTiAu3 PBE-GGA relaxed; values from VASP
&SYSTEM
  ibrav = 0, nat = 5, ntyp = 3
/
ATOMIC_SPECIES
Au 196.97 Au.upf
Ti 47.87 Ti.upf
Sr 87.62 Sr.upf
ATOMIC_POSITIONS angstrom
Au -0.3445 0.0456 2.7034
Au -2.3478 -1.3567 -0.2763
Au 1.3410 -2.3636 0.2108
Ti -1.3513 -3.6746 2.6379
Sr 0.0000 0.0000 0.0000
CELL_PARAMETERS angstrom
-0.6889 0.0913 5.4068
-4.6957 -2.7134 -0.5525
2.6820 -4.7272 0.4216
! E_form = 5.2 eV per formula unit
! Size of the total moment = 0.00 μB per formula unit
! Energy above the most stable polymorph in this dataset = 1.256 eV/atom
! SG = No. 221



# 2
! Cu3H2Br4 PBE-GGA relaxed; values from VASP
&SYSTEM
  ibrav = 0, nat = 9, ntyp = 3
/
ATOMIC_SPECIES
Br 79.90 Br.upf
Cu 63.55 Cu.upf
H 1.01 H.upf
ATOMIC_POSITIONS angstrom
Br 4.1499 1.7818 4.6972
Br 2.0241 5.1730 7.1380
Br 4.0914 1.7818 8.5663
Br 2.0827 5.1730 3.2689
Cu 0.0000 0.0000 0.0000
Cu 1.0336 3.4774 0.7141
Cu 3.1009 3.4774 2.1424
H 1.4974 0.0000 7.4641
H 2.6094 0.0000 2.9429
CELL_PARAMETERS angstrom
4.1345 0.0000 2.8566
2.0672 6.9548 1.4283
-0.0277 0.0000 7.5504
! Total DFT energy (no corrections) = -0.102 hartree per atom
! Size of the total moment = 0.00 μB per formula unit
! SG = No. 12



# 3
! BiAs6 PBE-GGA relaxed; values from VASP
&SYSTEM
  ibrav = 0, nat = 7, ntyp = 2
/
ATOMIC_SPECIES
As 74.92 As.upf
Bi 208.98 Bi.upf
ATOMIC_POSITIONS angstrom
As 1.7392 3.3064 1.6342
As -0.5836 2.9910 2.7095
As -1.1934 0.7480 3.8268
As 3.4521 1.3789 1.6761
As 2.8422 -0.8641 2.7934
As 0.5195 -1.1795 3.8687
Bi 0.0000 0.0000 0.0000
CELL_PARAMETERS angstrom
-4.6280 2.8584 3.2121
2.2236 -4.8517 3.3799
4.6631 4.1202 -1.0892
! E_form = 2.9 eV per formula unit
! Size of the total moment = 0.00 μB per formula unit
! SG = No. 229



# 4
! BaTb2Lu PBE-GGA relaxed; values from VASP
&SYSTEM
  ibrav = 0, nat = 4, ntyp = 3
/
ATOMIC_SPECIES
Lu 174.97 Lu.upf
Tb 158.93 Tb.upf
Ba 137.33 Ba.upf
ATOMIC_POSITIONS angstrom
Lu 3.5918 2.0737 6.3881
Tb 1.7959 1.0369 9.1524
Tb 5.3876 3.1106 3.6237
Ba 0.0000 0.0000 0.0000
CELL_PARAMETERS angstrom
3.5918 0.0000 0.0000
1.7959 3.1106 0.0000
1.7959 1.0369 12.7762
! E_form = 0.9 eV per formula unit
! Size of the total moment = 0.02 μB per formula unit
! Energy above the most stable polymorph in this dataset = 0.058 eV/atom
! SG = No. 166



# 5
! Tc2NiMoRh PBE-GGA relaxed; values from VASP
&SYSTEM
  ibrav = 0, nat = 5, ntyp = 4
/
ATOMIC_SPECIES
Ni 58.69 Ni.upf
Rh 102.91 Rh.upf
Tc 98.00 Tc.upf
Mo 95.94 Mo.upf
ATOMIC_POSITIONS angstrom
Ni 0.0000 0.0000 0.0000
Rh 0.0000 2.2114 0.0000
Tc 0.0000 0.0000 2.1654
Tc 2.1654 0.0000 0.0000
Mo 2.1654 2.2114 2.1654
CELL_PARAMETERS angstrom
4.3308 0.0000 0.0000
0.0000 4.4229 0.0000
0.0000 0.0000 4.3308
! E_form = 6.9 eV per formula unit
! Size of the total moment = 0.00 μB per formula unit
! SG = No. 123



# 6
! CdBi4Pb8 PBE-GGA relaxed; values from VASP
&SYSTEM
  ibrav = 0, nat = 13, ntyp = 3
/
ATOMIC_SPECIES
Pb 207.20 Pb.upf
Bi 208.98 Bi.upf
Cd 112.41 Cd.upf
ATOMIC_POSITIONS angstrom
Pb -0.0521 0.0000 16.7315
Pb 5.5748 0.0000 10.3577
Pb 2.7637 0.0000 12.3523
Pb 5.6204 1.7402 4.3974
Pb 2.8347 1.7402 0.4615
Pb 2.8073 0.0000 5.6723
Pb 2.7685 1.7402 15.4764
Pb -0.0566 1.7402 19.8610
Bi 2.7618 0.0000 18.8760
Bi 2.7740 1.7402 8.6915
Bi 5.5835 1.7402 13.4785
Bi 0.0199 0.0000 1.5523
Cd -0.0141 0.0000 7.3257
CELL_PARAMETERS angstrom
5.6378 0.0000 -0.0201
0.0000 3.4804 0.0000
-0.0700 0.0000 21.4747
! E_form = 1.0 eV per formula unit
! Size of the total moment = 0.00 μB per formula unit
! SG = No. 6



# 7
! ZrCr PBE-GGA relaxed; values from VASP
&SYSTEM
  ibrav = 0, nat = 12, ntyp = 2
/
ATOMIC_SPECIES
Zr 91.22 Zr.upf
Cr 52.00 Cr.upf
ATOMIC_POSITIONS angstrom
Zr 1.8257 0.0000 3.6514
Zr 3.6514 5.4771 0.0000
Zr 5.4771 0.0000 3.6514
Zr 0.0000 3.6514 5.4771
Zr 0.0000 3.6514 1.8257
Zr 3.6514 1.8257 0.0000
Cr 0.0000 5.4771 3.6514
Cr 3.6514 0.0000 5.4771
Cr 5.4771 3.6514 0.0000
Cr 1.8257 3.6514 0.0000
Cr 3.6514 0.0000 1.8257
Cr 0.0000 1.8257 3.6514
CELL_PARAMETERS angstrom
7.3028 0.0000 0.0000
0.0000 7.3028 0.0000
0.0000 0.0000 7.3028
! E_form = 4.4 eV per formula unit
! Size of the total moment = 2.85 μB per formula unit
! SG = No. 223



# 8
! RbMgB3 PBE-GGA relaxed; values from VASP
&SYSTEM
  ibrav = 0, nat = 5, ntyp = 3
/
ATOMIC_SPECIES
Mg 24.30 Mg.upf
B 10.81 B.upf
Rb 85.47 Rb.upf
ATOMIC_POSITIONS angstrom
Mg 2.4221 2.4221 2.4221
B 0.0000 0.0000 2.4221
B 2.4221 0.0000 0.0000
B 0.0000 2.4221 0.0000
Rb 0.0000 0.0000 0.0000
CELL_PARAMETERS angstrom
4.8441 0.0000 0.0000
0.0000 4.8441 0.0000
0.0000 0.0000 4.8441
! E_form = 15.8 eV per formula unit
! Size of the total moment = 0.54 μB per formula unit
! Energy above the most stable polymorph in this dataset = 1.127 eV/atom
! SG = No. 221